1.
The following is a GGA-PBE calculation of a geometry-optimized LiMgRe structure, from Alexandria.

The structure belongs to space group Fmm2 (No. 42); the cell edges are 3.201, 4.298 and 14.113 Å and the angles 90.00°, 90.00° and 90.00°. The inequivalent atoms are Li at (0.000, 0.000, 0.000), Mg at (0.000, 0.000, 0.682) and Re at (0.000, 0.000, 0.344).

The density of states at the Fermi level comes out at 4.10 states/eV per cell. For the formation enthalpy at 0 K, the calculation gives 0.254 eV per atom. As for the crystal system: orthorhombic. The raw total energy is -5.065 eV per atom.

---

2.
The following is a GGA-PBE calculation of a geometry-optimized CsRbLiGa2 structure, from Alexandria.

The structure belongs to space group P4/mmm (No. 123); the cell edges are 5.311, 5.311 and 6.225 Å and the angles 90.00°, 90.00° and 90.00°. The inequivalent atoms are Cs at (0.000, 0.000, 0.000), Rb at (0.500, 0.500, 0.000), Li at (0.500, 0.500, 0.500) and Ga at (0.000, 0.500, 0.500).

The density of states at the Fermi level comes out at 6.28 states/eV per cell. For the formation enthalpy at 0 K, the calculation gives 0.226 eV per atom. As for the crystal system: tetragonal. The raw total energy is -1.731 eV per atom.

---

3.
The following is a GGA-PBE calculation of a geometry-optimized K2AlNi structure, from Alexandria.

The structure belongs to space group R3m (No. 160, hexagonal axes); the cell edges are 4.1165, 4.1165 and 29.2058 Å and the angles 90.00°, 90.00° and 120.00°. The inequivalent atoms are K at (0.0000, 0.0000, 0.0000), K at (0.0000, 0.0000, 0.1814), Al at (0.0000, 0.0000, 0.7573) and Ni at (0.0000, 0.0000, 0.4240).

The density of states at the Fermi level comes out at 5.13 states/eV per cell. For the formation enthalpy at 0 K, the calculation gives 0.157 eV per atom. As for the crystal system: trigonal. The raw total energy is -2.773 eV per atom.

---

4.
The following is a GGA-PBE calculation of a geometry-optimized TbTh4Sc8 structure, from Alexandria.

The structure belongs to space group R-3m (No. 166, hexagonal axes); the cell edges are 7.1091, 7.1091 and 24.6913 Å and the angles 90.00°, 90.00° and 120.00°. The inequivalent atoms are Tb at (0.0000, 0.0000, 0.0000), Th at (0.0000, 0.0000, 0.5000), Th at (0.0000, 0.5000, 0.5000), Sc at (0.0000, 0.0000, 0.2811) and Sc at (0.0524, 0.5262, 0.2727).

The density of states at the Fermi level comes out at 48.16 states/eV per cell. For the formation enthalpy at 0 K, the calculation gives 0.232 eV per atom. As for the crystal system: trigonal. The raw total energy is -6.304 eV per atom.

---

5.
The following is a GGA-PBE calculation of a geometry-optimized CdAs2Rh structure, from Alexandria.

The structure belongs to space group P4/mmm (No. 123); the cell edges are 4.287, 4.287 and 3.878 Å and the angles 90.00°, 90.00° and 90.00°. The inequivalent atoms are Cd at (0.000, 0.000, 0.000), As at (0.000, 0.500, 0.500) and Rh at (0.500, 0.500, 0.000).

The density of states at the Fermi level comes out at 1.87 states/eV per cell. For the formation enthalpy at 0 K, the calculation gives 0.118 eV per atom. As for the crystal system: tetragonal. The raw total energy is -4.273 eV per atom.

---

6.
The following is a GGA-PBE calculation of a geometry-optimized Ba2SrLaPt structure, from Alexandria.

The structure belongs to space group P4/mmm (No. 123); the cell edges are 6.458, 6.458 and 5.685 Å and the angles 90.00°, 90.00° and 90.00°. The inequivalent atoms are Ba at (0.000, 0.500, 0.000), Sr at (0.000, 0.000, 0.500), La at (0.500, 0.500, 0.500) and Pt at (0.500, 0.500, 0.000).

The density of states at the Fermi level comes out at 3.57 states/eV per cell. For the formation enthalpy at 0 K, the calculation gives -0.367 eV per atom. As for the crystal system: tetragonal. The raw total energy is -3.666 eV per atom.

---

7.
The following is a GGA-PBE calculation of a geometry-optimized Pu4Sb2TeAs structure, from Alexandria.

The structure belongs to space group P2/m (No. 10); the cell edges are 7.543, 4.359 and 7.569 Å and the angles 90.00°, 109.43° and 90.00°. The inequivalent atoms are Pu at (0.237, 0.000, 0.234), Pu at (0.245, 0.500, 0.760), Sb at (0.500, 0.000, 0.000), Sb at (0.500, 0.500, 0.500), Te at (0.000, 0.000, 0.500) and As at (0.000, 0.500, 0.000).

Its formation energy without anion corrections is -0.82 eV/atom. The density of states at the Fermi level comes out at 45.10 states/eV per cell. As for the crystal system: monoclinic. The raw total energy is -9.992 eV per atom.

---

8.
The following is a GGA-PBE calculation of a geometry-optimized CsNiMo3 structure, from Alexandria.

The structure belongs to space group Pm-3m (No. 221); the cell edges are 4.853, 4.853 and 4.853 Å and the angles 90.00°, 90.00° and 90.00°. The inequivalent atoms are Cs at (0.000, 0.000, 0.000), Ni at (0.500, 0.500, 0.500) and Mo at (0.000, 0.000, 0.500).

The density of states at the Fermi level comes out at 2.95 states/eV per cell. For the formation enthalpy at 0 K, the calculation gives 3.420 eV per atom. As for the crystal system: cubic. The raw total energy is -4.405 eV per atom.